Entry 1:
Computed, not measured: a geometry-optimized RePt2Au structure at the PBEsol level of DFT.

Lattice parameters (Å, degrees): 4.4441 4.4441 4.4441 60.00 60.00 60.00
Positions (direct):
1 Re 0.0000 0.0000 0.0000
2 Pt 0.2500 0.2500 0.2500
3 Pt 0.7500 0.7500 0.7500
4 Au 0.5000 0.5000 0.5000

Computed properties:
Polymorph energy (0 for the lowest one) in meV/atom: 499
Fermi-level density of states in states/eV per cell: 4.5
SG: Fm-3m
Magnetic moment in μB per cell: 0.51
Calculated density in g/cm³: 20.7
Energy of formation from the pure elements in eV/atom: 0.400

***

Entry 2:
Computed, not measured: a geometry-optimized RePt2Au structure at the PBEsol level of DFT.

Lattice parameters (Å, degrees): 2.7656 2.7656 7.9872 90.00 90.00 90.00
Positions (direct):
1 Re 0.0000 0.0000 0.0000
2 Pt 0.5000 0.5000 0.2322
3 Pt 0.5000 0.5000 0.7678
4 Au 0.0000 0.0000 0.5000

Computed properties:
Polymorph energy (0 for the lowest one) in meV/atom: 0
Fermi-level density of states in states/eV per cell: 1.9
SG: P4/mmm
Magnetic moment in μB per cell: 0.00
Calculated density in g/cm³: 21.0
Energy of formation from the pure elements in eV/atom: -0.099

***

Entry 3:
Computed, not measured: a geometry-optimized RePtAu structure at the PBEsol level of DFT.

Lattice parameters (Å, degrees): 6.3533 6.3533 6.3533 154.91 154.91 35.78
Positions (direct):
1 Re 0.0000 0.0000 0.0000
2 Pt 0.6501 0.6501 0.0000
3 Au 0.3305 0.3305 0.0000

Computed properties:
Fermi-level density of states in states/eV per cell: 2.1
SG: I4mm
Magnetic moment in μB per cell: 0.00
Calculated density in g/cm³: 20.8
Energy of formation from the pure elements in eV/atom: 0.122

***

Entry 4:
Computed, not measured: a geometry-optimized Pt2RhAu structure at the PBEsol level of DFT.

Lattice parameters (Å, degrees): 2.7807 3.8869 5.5759 90.00 90.00 90.00
Positions (direct):
1 Pt 0.0000 0.0000 0.2387
2 Pt 0.0000 0.0000 0.7613
3 Rh 0.5000 0.5000 0.0000
4 Au 0.5000 0.5000 0.5000

Computed properties:
Fermi-level density of states in states/eV per cell: 7.1
SG: Pmmm
Magnetic moment in μB per cell: 0.00
Calculated density in g/cm³: 19.0
Energy of formation from the pure elements in eV/atom: 0.076

***

Entry 5:
Computed, not measured: a geometry-optimized Pt2RhAu structure at the PBEsol level of DFT.

Lattice parameters (Å, degrees): 4.8086 4.8086 4.8086 100.01 100.01 33.40
Positions (direct):
1 Pt 0.2455 0.2455 0.2425
2 Pt 0.7545 0.7545 0.7575
3 Rh 0.5000 0.5000 0.0000
4 Au 0.0000 0.0000 0.5000

Computed properties:
Fermi-level density of states in states/eV per cell: 7.3
SG: C2/m
Magnetic moment in μB per cell: 0.00
Calculated density in g/cm³: 19.0
Energy of formation from the pure elements in eV/atom: 0.084

***

Entry 6:
Computed, not measured: a geometry-optimized Pt2RhAu structure at the PBEsol level of DFT.

Lattice parameters (Å, degrees): 2.7665 2.7665 7.8873 90.00 90.00 90.00
Positions (direct):
1 Pt 0.0000 0.0000 0.2346
2 Pt 0.0000 0.0000 0.7654
3 Rh 0.5000 0.5000 0.0000
4 Au 0.5000 0.5000 0.5000

Computed properties:
Fermi-level density of states in states/eV per cell: 6.2
SG: P4/mmm
Magnetic moment in μB per cell: 0.01
Calculated density in g/cm³: 19.0
Energy of formation from the pure elements in eV/atom: 0.039

***

Entry 7:
Computed, not measured: a geometry-optimized Pt2RhAu structure at the PBEsol level of DFT.

Lattice parameters (Å, degrees): 4.8070 4.8070 4.8070 131.94 131.94 70.32
Positions (direct):
1 Pt 0.2500 0.7500 0.5000
2 Pt 0.7500 0.2500 0.5000
3 Rh 0.0000 0.0000 0.0000
4 Au 0.5000 0.5000 0.0000

Computed properties:
Fermi-level density of states in states/eV per cell: 6.7
SG: I4/mmm
Magnetic moment in μB per cell: 0.91
Calculated density in g/cm³: 19.0
Energy of formation from the pure elements in eV/atom: 0.089

***

Entry 8:
Computed, not measured: a geometry-optimized Pt2RhAu structure at the PBEsol level of DFT.

Lattice parameters (Å, degrees): 4.7850 4.7850 4.8320 99.72 99.72 33.56
Positions (direct):
1 Pt 0.0000 0.0000 0.0000
2 Pt 0.2505 0.2505 0.7507
3 Rh 0.5059 0.5059 0.5129
4 Au 0.7542 0.7542 0.2562

Computed properties:
Fermi-level density of states in states/eV per cell: 6.2
SG: Cm
Magnetic moment in μB per cell: 0.00
Calculated density in g/cm³: 19.0
Energy of formation from the pure elements in eV/atom: 0.084

***

Entry 9:
Computed, not measured: a geometry-optimized Pt2RhAu structure at the PBEsol level of DFT.

Lattice parameters (Å, degrees): 9.2589 9.2589 9.2589 17.16 17.16 17.16
Positions (direct):
1 Pt 0.2461 0.2461 0.2461
2 Pt 0.7539 0.7539 0.7539
3 Rh 0.5000 0.5000 0.5000
4 Au 0.0000 0.0000 0.0000

Computed properties:
Fermi-level density of states in states/eV per cell: 5.6
SG: R-3m
Magnetic moment in μB per cell: 0.01
Calculated density in g/cm³: 19.0
Energy of formation from the pure elements in eV/atom: 0.039

***

Entry 10:
Computed, not measured: a geometry-optimized Pt2RhAu structure at the PBEsol level of DFT.

Lattice parameters (Å, degrees): 2.7815 3.8759 5.5870 90.00 90.00 90.00
Positions (direct):
1 Pt 0.0000 0.0000 0.0000
2 Pt 0.5000 0.5000 0.2488
3 Rh 0.0000 0.0000 0.4834
4 Au 0.5000 0.5000 0.7405

Computed properties:
Fermi-level density of states in states/eV per cell: 6.5
SG: Pmm2
Magnetic moment in μB per cell: 0.00
Calculated density in g/cm³: 19.0
Energy of formation from the pure elements in eV/atom: 0.086

***

Entry 11:
Computed, not measured: a geometry-optimized Pt2RhAu structure at the PBEsol level of DFT.

Lattice parameters (Å, degrees): 2.7721 2.7721 7.8437 90.00 90.00 90.00
Positions (direct):
1 Pt 0.0000 0.0000 0.0000
2 Pt 0.5000 0.5000 0.2485
3 Rh 0.0000 0.0000 0.4801
4 Au 0.5000 0.5000 0.7360

Computed properties:
Fermi-level density of states in states/eV per cell: 6.4
SG: P4mm
Magnetic moment in μB per cell: 0.00
Calculated density in g/cm³: 19.0
Energy of formation from the pure elements in eV/atom: 0.069

***

Entry 12:
Computed, not measured: a geometry-optimized RuPt2Au structure at the PBEsol level of DFT.

Lattice parameters (Å, degrees): 4.4200 4.4200 4.4200 60.00 60.00 60.00
Positions (direct):
1 Ru 0.0000 0.0000 0.0000
2 Pt 0.2500 0.2500 0.2500
3 Pt 0.5000 0.5000 0.5000
4 Au 0.7500 0.7500 0.7500

Computed properties:
Polymorph energy (0 for the lowest one) in meV/atom: 311
Fermi-level density of states in states/eV per cell: 3.4
SG: F-43m
Magnetic moment in μB per cell: 1.35
Calculated density in g/cm³: 18.7
Energy of formation from the pure elements in eV/atom: 0.348

***

- What is the energy of formation from the pure elements in the tenth record?
  0.086 eV/atom